# 1
Below is crystalline Y2TlSe at its relaxed geometry, with properties calculated at the PBE level.

Unit cell a=5.653 b=5.653 c=5.653 alpha=136.84 beta=114.97 gamma=81.27
Sites, in units of the cell vectors:
Y 0.226 0.226 0.000
Y 0.774 0.774 0.000
Tl 0.500 0.000 0.500
Se 0.000 0.500 0.500

- Mass density: 7.06 g cm⁻³
- Relative energy among the computed polymorphs: 0.301 eV/atom
- E_form (uncorrected): -776 meV per atom
- Final energy: -5.470 eV/atom
- Space group: No. 71



# 2
Below is crystalline OsAuS at its relaxed geometry, with properties calculated at the PBE level.

Unit cell a=4.796 b=4.306 c=4.306 alpha=39.01 beta=90.00 gamma=90.00
Sites, in units of the cell vectors:
Os 0.000 0.000 0.000
Au 0.500 0.476 0.476
S 0.000 0.716 0.716

- Mass density: 12.43 g cm⁻³
- Relative energy among the computed polymorphs: 0.179 eV/atom
- E_form (uncorrected): 341 meV per atom
- Final energy: -5.871 eV/atom
- Space group: No. 38



# 3
Below is crystalline TbNb6Sn6 at its relaxed geometry, with properties calculated at the PBE level.

Unit cell a=7.542 b=7.542 c=7.542 alpha=134.74 beta=100.56 gamma=96.47
Sites, in units of the cell vectors:
Tb 0.000 0.000 0.000
Nb 0.000 0.000 0.500
Nb 0.000 0.500 0.000
Nb 0.252 0.500 0.752
Nb 0.500 0.000 0.000
Nb 0.500 0.500 0.500
Nb 0.748 0.500 0.248
Sn 0.164 0.664 0.500
Sn 0.327 0.000 0.327
Sn 0.333 0.333 0.000
Sn 0.667 0.667 0.000
Sn 0.673 0.000 0.673
Sn 0.836 0.336 0.500

- Mass density: 8.44 g cm⁻³
- Relative energy among the computed polymorphs: 0.010 eV/atom
- Final energy: -7.173 eV/atom
- Space group: No. 71
- ΔE_f: -31.0 kJ/mol of atoms